(1)
Density functional theory data (GGA-PBE) for a relaxed structure of CdSn2Bi.

Output
Energy relative to the lowest polymorph listed for this composition in meV per atom: 0
Formation enthalpy at 0 K in eV per atom: 0.08
Density in Mg/m³: 8.3

a b c (Å): 4.6096 4.6096 5.2821
angles (deg): 90.00 90.00 90.00
Closest atoms and distances in Å follow each position.
Space group P4/mmm (No. 123)
Asymmetric unit:
Cd 0.0000 0.0000 0.0000  4 Bi 3.26, 8 Sn 3.51
Sn 0.0000 0.5000 0.5000  4 Sn 3.26, 4 Bi 3.51, 4 Cd 3.51
Bi 0.5000 0.5000 0.0000  4 Cd 3.26, 8 Sn 3.51

***

(2)
Density functional theory data (GGA-PBE) for a relaxed structure of CdSn2Bi2.

Output
Energy relative to the lowest polymorph listed for this composition in meV per atom: 0
Formation enthalpy at 0 K in eV per atom: 0.13
Density in Mg/m³: 8.3

a b c (Å): 8.7449 8.7449 4.0249
angles (deg): 90.00 90.00 90.00
Closest atoms and distances in Å follow each position.
Space group P4/mbm (No. 127)
Asymmetric unit:
Cd 0.0000 0.0000 0.0000  4 Sn 3.36
Sn 0.1442 0.3558 0.0000  6 Bi 3.26, 2 Cd 3.36, 1 Sn 3.57
Bi 0.1486 0.6486 0.5000  6 Sn 3.26

***

(3)
Density functional theory data (GGA-PBE) for a relaxed structure of Cd4SnBi.

Output
Energy relative to the lowest polymorph listed for this composition in meV per atom: 1
Formation enthalpy at 0 K in eV per atom: 0.06
Density in Mg/m³: 7.6

a b c (Å): 7.8313 8.1400 5.3127
angles (deg): 90.00 90.00 90.00
Closest atoms and distances in Å follow each position.
Space group Pbam (No. 55)
Asymmetric unit:
Cd 0.1366 0.1357 0.0000  2 Bi 3.05-3.15, 2 Sn 3.07, 3 Cd 3.08-3.16
Cd 0.1604 0.3441 0.5000  2 Sn 2.95-3.07, 2 Cd 3.16, 2 Bi 3.20
Sn 0.0000 0.0000 0.5000  8 Cd 2.95-3.07
Bi 0.0000 0.5000 0.0000  8 Cd 3.05-3.20